The following is a PBE calculation of NdSiOs after structural relaxation, from OQMD via LeMat-Bulk.

a b c (Å): 4.6813 4.6813 4.6813
angles (deg): 60.00 60.00 60.00
With the nearest neighbours (Å) after each atom.
Element x y z (fractional)
Nd1 0.0000 0.0000 0.0000  4 Os 2.87, 4 Si 2.87
Si1 0.2500 0.2500 0.2500  4 Nd 2.87
Os1 0.7500 0.7500 0.7500  4 Nd 2.87

Computed properties:
mass density	8.30	g/cm³
DFT total energy	-18.13	eV/cell
space-group type	F-43m, No. 216
spin magnetization	0.16	μB per formula unit

---

The following is a PBE calculation of OsAu3Br after structural relaxation, from OQMD via LeMat-Bulk.

a b c (Å): 4.8529 4.8529 4.8529
angles (deg): 90.00 90.00 90.00
With the nearest neighbours (Å) after each atom.
Element x y z (fractional)
Os1 0.0000 0.0000 0.0000  12 Au 3.43
Au1 0.0000 0.5000 0.5000  2 Br 2.43
Au2 0.5000 0.0000 0.5000  2 Br 2.43
Au3 0.5000 0.5000 0.0000  2 Br 2.43
Br1 0.5000 0.5000 0.5000  6 Au 2.43

Computed properties:
mass density	12.51	g/cm³
DFT total energy	-12.58	eV/cell
space-group type	Pm-3m, No. 221
spin magnetization	2.49	μB per formula unit

---

The following is a PBE calculation of YFe2 after structural relaxation, from OQMD via LeMat-Bulk.

a b c (Å): 4.9484 4.9484 5.3210
angles (deg): 90.00 90.00 90.00
With the nearest neighbours (Å) after each atom.
Element x y z (fractional)
Y1 0.0000 0.0000 0.0000  2 Fe 2.47
Y2 0.5000 0.5000 0.5000  2 Fe 2.47
Fe1 0.1467 0.1467 0.5000  1 Fe 2.05
Fe2 0.3533 0.6467 0.0000  1 Fe 2.05
Fe3 0.6467 0.3533 0.0000  1 Fe 2.05
Fe4 0.8533 0.8533 0.5000  1 Fe 2.05

Computed properties:
mass density	5.11	g/cm³
DFT total energy	-39.18	eV/cell
space-group type	P4_2/mnm, No. 136
spin magnetization	4.48	μB per formula unit
ΔH_f (0 K)	1.16	eV per atom

---

The following is a PBE calculation of TaTl after structural relaxation, from OQMD via LeMat-Bulk.

a b c (Å): 4.4307 4.4307 4.4307
angles (deg): 60.00 60.00 60.00
With the nearest neighbours (Å) after each atom.
Element x y z (fractional)
Ta1 0.0000 0.0000 0.0000  4 Tl 2.71
Tl1 0.7500 0.7500 0.7500  4 Ta 2.71

Computed properties:
mass density	10.40	g/cm³
DFT total energy	-9.94	eV/cell
space-group type	F-43m, No. 216
spin magnetization	0.00	μB per formula unit
offset from the most stable computed form	1.607	eV/atom

---

The following is a PBE calculation of Rb2TcHgCl6 after structural relaxation, from OQMD via LeMat-Bulk.

a b c (Å): 10.0526 10.0526 10.0526
angles (deg): 41.23 41.23 41.23
With the nearest neighbours (Å) after each atom.
Element x y z (fractional)
Rb1 0.1278 0.1278 0.1278  9 Cl 3.30-3.64, 1 Hg 3.52
Rb2 0.8722 0.8722 0.8722  9 Cl 3.30-3.64, 1 Hg 3.52
Tc1 0.5000 0.5000 0.5000  6 Cl 2.38
Hg1 0.0000 0.0000 0.0000  2 Rb 3.52
Cl1 0.1364 0.6159 0.5938  1 Tc 2.38
Cl2 0.3841 0.4062 0.8636  1 Tc 2.38
Cl3 0.4062 0.8636 0.3841  1 Tc 2.38
Cl4 0.5938 0.1364 0.6159  1 Tc 2.38
Cl5 0.6159 0.5938 0.1364  1 Tc 2.38
Cl6 0.8636 0.3841 0.4062  1 Tc 2.38

Computed properties:
mass density	2.84	g/cm³
DFT total energy	-35.28	eV/cell
space-group type	R-3, No. 148
spin magnetization	3.00	μB per formula unit

---

The following is a PBE calculation of NaTaZnTe3 after structural relaxation, from OQMD via LeMat-Bulk.

a b c (Å): 7.7618 7.7618 10.6687
angles (deg): 90.00 90.00 150.35
With the nearest neighbours (Å) after each atom.
Element x y z (fractional)
Na1 0.2333 0.7667 0.7500  6 Te 3.29-3.37, 2 Zn 3.60
Na2 0.7667 0.2333 0.2500  6 Te 3.29-3.37, 2 Zn 3.60
Ta1 0.0000 0.0000 0.0000  6 Te 2.88-2.96
Ta2 0.0000 0.0000 0.5000  6 Te 2.88-2.96
Zn1 0.4669 0.5331 0.2500  4 Te 2.65-2.66
Zn2 0.5331 0.4669 0.7500  4 Te 2.65-2.66
Te1 0.0850 0.9150 0.2500  2 Zn 2.66, 2 Ta 2.96
Te2 0.3650 0.6350 0.0470  1 Zn 2.65, 2 Ta 2.88
Te3 0.3650 0.6350 0.4530  1 Zn 2.65, 2 Ta 2.88
Te4 0.6350 0.3650 0.5470  1 Zn 2.65, 2 Ta 2.88
Te5 0.6350 0.3650 0.9530  1 Zn 2.65, 2 Ta 2.88
Te6 0.9150 0.0850 0.7500  2 Zn 2.66, 2 Ta 2.96

Computed properties:
mass density	6.81	g/cm³
DFT total energy	-51.20	eV/cell
space-group type	Cmcm, No. 63
spin magnetization	1.62	μB per formula unit

---

The following is a PBE calculation of YMgNp after structural relaxation, from OQMD via LeMat-Bulk.

a b c (Å): 5.2015 5.2015 5.2015
angles (deg): 60.00 60.00 60.00
With the nearest neighbours (Å) after each atom.
Element x y z (fractional)
Y1 0.0000 0.0000 0.0000  4 Mg 3.19
Mg1 0.7500 0.7500 0.7500  4 Np 3.19, 4 Y 3.19
Np1 0.5000 0.5000 0.5000  4 Mg 3.19

Computed properties:
mass density	5.84	g/cm³
DFT total energy	-17.99	eV/cell
space-group type	F-43m, No. 216
spin magnetization	6.56	μB per formula unit
offset from the most stable computed form	0.000	eV/atom

---

The following is a PBE calculation of NaThB after structural relaxation, from OQMD via LeMat-Bulk.

a b c (Å): 4.5071 4.5071 4.5071
angles (deg): 60.00 60.00 60.00
With the nearest neighbours (Å) after each atom.
Element x y z (fractional)
Na1 0.0000 0.0000 0.0000  4 B 2.76
Th1 0.5000 0.5000 0.5000  4 B 2.76
B1 0.2500 0.2500 0.2500  4 Th 2.76, 4 Na 2.76

Computed properties:
mass density	6.82	g/cm³
DFT total energy	-14.05	eV/cell
space-group type	F-43m, No. 216
spin magnetization	0.00	μB per formula unit
offset from the most stable computed form	0.000	eV/atom

---

The following is a PBE calculation of Zr4CdHgB2 after structural relaxation, from OQMD via LeMat-Bulk.

a b c (Å): 3.4245 3.4245 15.3769
angles (deg): 90.00 90.00 120.00
With the nearest neighbours (Å) after each atom.
Element x y z (fractional)
Zr1 0.0000 0.0000 0.1615  3 B 2.38
Zr2 0.0000 0.0000 0.8385  3 B 2.38
Zr3 0.6667 0.3333 0.3332  3 B 2.37
Zr4 0.6667 0.3333 0.6668  3 B 2.37
Cd1 0.0000 0.0000 0.5000  6 Zr 3.24, 6 Cd 3.42
Hg1 0.6667 0.3333 0.0000  6 Zr 3.17, 6 Hg 3.42
B1 0.3333 0.6667 0.2478  6 Zr 2.37-2.38
B2 0.3333 0.6667 0.7522  6 Zr 2.37-2.38

Computed properties:
mass density	7.44	g/cm³
DFT total energy	-51.35	eV/cell
space-group type	P-6m2, No. 187
spin magnetization	0.02	μB per formula unit

---

The following is a PBE calculation of Re13W16 after structural relaxation, from OQMD via LeMat-Bulk.

a b c (Å): 8.4280 8.4280 8.4280
angles (deg): 109.47 109.47 109.47
With the nearest neighbours (Å) after each atom.
Element x y z (fractional)
Re1 0.0000 0.0000 0.0000  4 W 2.95, 12 Re 3.03
Re2 0.0000 0.1914 0.3748  3 Re 2.52-2.63, 3 W 2.63-2.74
Re3 0.0000 0.3748 0.1914  3 Re 2.52-2.63, 3 W 2.63-2.74
Re4 0.1834 0.8086 0.8086  3 Re 2.52-2.63, 3 W 2.63-2.74
Re5 0.1914 0.0000 0.3748  3 Re 2.52-2.63, 3 W 2.63-2.74
Re6 0.1914 0.3748 0.0000  3 Re 2.52-2.63, 3 W 2.63-2.74
Re7 0.3748 0.0000 0.1914  3 Re 2.52-2.63, 3 W 2.63-2.74
Re8 0.3748 0.1914 0.0000  3 Re 2.52-2.63, 3 W 2.63-2.74
Re9 0.6252 0.6252 0.8166  3 Re 2.52-2.63, 3 W 2.63-2.74
Re10 0.6252 0.8166 0.6252  3 Re 2.52-2.63, 3 W 2.63-2.74
Re11 0.8086 0.1834 0.8086  3 Re 2.52-2.63, 3 W 2.63-2.74
Re12 0.8086 0.8086 0.1834  3 Re 2.52-2.63, 3 W 2.63-2.74
Re13 0.8166 0.6252 0.6252  3 Re 2.52-2.63, 3 W 2.63-2.74
W1 0.0000 0.0000 0.6495  3 W 2.77, 7 Re 2.92-2.95
W2 0.0000 0.4026 0.6855  5 Re 2.63-2.87, 7 W 2.77-2.94
W3 0.0000 0.6495 0.0000  3 W 2.77, 7 Re 2.92-2.95
W4 0.0000 0.6855 0.4026  5 Re 2.63-2.87, 7 W 2.77-2.94
W5 0.2829 0.5974 0.5974  5 Re 2.63-2.87, 7 W 2.77-2.94
W6 0.3145 0.3145 0.7171  5 Re 2.63-2.87, 7 W 2.77-2.94
W7 0.3145 0.7171 0.3145  5 Re 2.63-2.87, 7 W 2.77-2.94
W8 0.3505 0.3505 0.3505  3 W 2.77, 7 Re 2.92-2.95
W9 0.4026 0.0000 0.6855  5 Re 2.63-2.87, 7 W 2.77-2.94
W10 0.4026 0.6855 0.0000  5 Re 2.63-2.87, 7 W 2.77-2.94
W11 0.5974 0.2829 0.5974  5 Re 2.63-2.87, 7 W 2.77-2.94
W12 0.5974 0.5974 0.2829  5 Re 2.63-2.87, 7 W 2.77-2.94
W13 0.6495 0.0000 0.0000  3 W 2.77, 7 Re 2.92-2.95
W14 0.6855 0.0000 0.4026  5 Re 2.63-2.87, 7 W 2.77-2.94
W15 0.6855 0.4026 0.0000  5 Re 2.63-2.87, 7 W 2.77-2.94
W16 0.7171 0.3145 0.3145  5 Re 2.63-2.87, 7 W 2.77-2.94

Computed properties:
mass density	19.32	g/cm³
DFT total energy	-367.05	eV/cell
space-group type	I-43m, No. 217
spin magnetization	0.01	μB per formula unit
ΔH_f (0 K)	0.06	eV per atom
offset from the most stable computed form	0.000	eV/atom

---

The following is a PBE calculation of Fe2Tc3 after structural relaxation, from OQMD via LeMat-Bulk.

a b c (Å): 5.4181 5.4181 5.4181
angles (deg): 69.36 69.36 69.36
With the nearest neighbours (Å) after each atom.
Element x y z (fractional)
Fe1 0.0905 0.0905 0.0905  1 Fe 2.22, 3 Tc 2.31
Fe2 0.4095 0.4095 0.4095  1 Fe 2.22, 3 Tc 2.31
Fe3 0.5905 0.5905 0.5905  1 Fe 2.22, 3 Tc 2.31
Fe4 0.9095 0.9095 0.9095  1 Fe 2.22, 3 Tc 2.31
Tc1 0.0119 0.7500 0.4881  4 Fe 2.31-2.54
Tc2 0.2500 0.5119 0.9881  4 Fe 2.31-2.54
Tc3 0.4881 0.0119 0.7500  4 Fe 2.31-2.54
Tc4 0.5119 0.9881 0.2500  4 Fe 2.31-2.54
Tc5 0.7500 0.4881 0.0119  4 Fe 2.31-2.54
Tc6 0.9881 0.2500 0.5119  4 Fe 2.31-2.54

Computed properties:
mass density	10.02	g/cm³
DFT total energy	-90.82	eV/cell
space-group type	R-3c, No. 167
spin magnetization	0.23	μB per formula unit
ΔH_f (0 K)	0.46	eV per atom

---

The following is a PBE calculation of ErTm2Si4Au4 after structural relaxation, from OQMD via LeMat-Bulk.

a b c (Å): 8.1476 8.1476 8.1476
angles (deg): 149.75 129.73 59.80
With the nearest neighbours (Å) after each atom.
Element x y z (fractional)
Er1 0.0000 0.0000 0.0000  6 Si 3.05-3.09
Tm1 0.3759 0.8759 0.5000  6 Si 3.01-3.10, 6 Au 3.02-3.28
Tm2 0.6241 0.1241 0.5000  6 Si 3.01-3.10, 6 Au 3.02-3.28
Si1 0.2162 0.2162 0.0000  6 Au 2.65
Si2 0.3235 0.5000 0.8235  1 Si 2.44, 2 Au 2.49
Si3 0.6765 0.5000 0.1765  1 Si 2.44, 2 Au 2.49
Si4 0.7838 0.7838 0.0000  6 Au 2.65
Au1 0.0372 0.3343 0.7030  4 Si 2.49-2.65
Au2 0.3687 0.6657 0.7030  4 Si 2.49-2.65
Au3 0.6313 0.3343 0.2970  4 Si 2.49-2.65
Au4 0.9628 0.6657 0.2970  4 Si 2.49-2.65

Computed properties:
mass density	11.23	g/cm³
DFT total energy	-55.74	eV/cell
space-group type	Immm, No. 71
spin magnetization	0.00	μB per formula unit

---

Question: mass density of number 6 (NaTaZnTe3)?
Answer: 6.81 g/cm³

---

Question: Among the records above, which one has the highest DFT total energy?
Answer: TaTl

---

Please write out number 4 again, unchanged.
The following is a PBE calculation of TaTl after structural relaxation, from OQMD via LeMat-Bulk.

a b c (Å): 4.4307 4.4307 4.4307
angles (deg): 60.00 60.00 60.00
With the nearest neighbours (Å) after each atom.
Element x y z (fractional)
Ta1 0.0000 0.0000 0.0000  4 Tl 2.71
Tl1 0.7500 0.7500 0.7500  4 Ta 2.71

Computed properties:
mass density	10.40	g/cm³
DFT total energy	-9.94	eV/cell
space-group type	F-43m, No. 216
spin magnetization	0.00	μB per formula unit
offset from the most stable computed form	1.607	eV/atom

---

Question: What is the mass density in the tenth record?
Answer: 19.32 g/cm³